{"formula": "Ag2F", "functional": "PBE", "state": "relaxed", "magmom_total_mub_per_atom": 0.000, "raw_formation_energy_ev_per_atom": -0.656, "de_polymorph_mev_per_atom": 42, "lattice_angstrom": [[4.136, 0.000, 0.000], [0.000, 4.153, 0.000], [0.000, 0.000, 10.707]], "species": ["Ag", "Ag", "Ag", "Ag", "Ag", "Ag", "Ag", "Ag", "F", "F", "F", "F"], "fractional_positions": [[0.000, 0.000, 0.154], [0.000, 0.000, 0.846], [0.000, 0.500, 0.346], [0.000, 0.500, 0.654], [0.500, 0.000, 0.346], [0.500, 0.000, 0.654], [0.500, 0.500, 0.154], [0.500, 0.500, 0.846], [0.000, 0.000, 0.500], [0.000, 0.500, 0.000], [0.500, 0.000, 0.000], [0.500, 0.500, 0.500]]}